No. 1
Entry from OQMD: crystalline FeCl2 at its relaxed geometry (PBE).

The value obtained for the total energy is -4.602 eV per atom. As for the spin magnetization: 1.334 μB/atom.

The structure belongs to space group Fd-3m (No. 227, origin choice 2); the cell edges are 10.437, 10.437 and 10.437 Å and the angles 90.00°, 90.00° and 90.00°. Symmetry generates all atoms from Fe at (0.125, 0.125, 0.125) and Cl at (0.000, 0.000, 0.000).

***

No. 2
Entry from OQMD: crystalline FeCl at its relaxed geometry (PBE).

The value obtained for the total energy is -4.988 eV per atom. As for the spin magnetization: 1.503 μB/atom.

The structure belongs to space group P6_3/mmc (No. 194); the cell edges are 3.9022, 3.9022 and 4.9491 Å and the angles 90.00°, 90.00° and 120.00°. Symmetry generates all atoms from Fe at (0.0000, 0.0000, 0.0000) and Cl at (0.3333, 0.6667, 0.2500).

***

No. 3
Entry from OQMD: crystalline Fe3Cl at its relaxed geometry (PBE).

For the offset from the most stable computed form, the calculation gives 105.7 meV/atom. As for the spin magnetization: 2.226 μB/atom.

The structure belongs to space group I4/mmm (No. 139); the cell edges are 3.561, 3.561 and 8.606 Å and the angles 90.00°, 90.00° and 90.00°. Symmetry generates all atoms from Fe at (0.000, 0.000, 0.000), Fe at (0.000, 0.500, 0.250) and Cl at (0.000, 0.000, 0.500).